(1)
Computed, not measured: a geometry-optimized Zr3TaNi2 structure at the PBE level of DFT.

The structure belongs to space group Fmm2 (No. 42); the cell edges are 5.125, 9.055 and 9.104 Å and the angles 90.00°, 90.00° and 90.00°. The asymmetric unit holds Zr at (0.000, 0.000, 0.000), Zr at (0.000, 0.161, 0.661), Ta at (0.000, 0.000, 0.323) and Ni at (0.250, 0.250, 0.409).

The total energy comes out at -8.375 eV/atom. The calculated volume is 422.5 Å³/cell. As for the formation energy: -0.2705 eV/atom. The calculation puts the magnetic moment at 0.01 μB/f.u.


(2)
Computed, not measured: a geometry-optimized ZrTaNi structure at the PBE level of DFT.

The structure belongs to space group Fmmm (No. 69); the cell edges are 5.022, 8.961 and 9.032 Å and the angles 90.00°, 90.00° and 90.00°. The asymmetric unit holds Zr at (0.000, 0.159, 0.000), Ta at (0.000, 0.000, 0.339) and Ni at (0.250, 0.250, 0.250).

The total energy comes out at -8.912 eV/atom. The calculated volume is 406.5 Å³/cell. As for the formation energy: -0.2564 eV/atom. The value obtained for the polymorph energy (0 for the lowest one) is 0.000 eV per atom. The calculation puts the magnetic moment at 0.00 μB/f.u.


(3)
Computed, not measured: a geometry-optimized ZrTa3Ni2 structure at the PBE level of DFT.

The structure belongs to space group Fmm2 (No. 42); the cell edges are 4.940, 8.917 and 8.890 Å and the angles 90.00°, 90.00° and 90.00°. The asymmetric unit holds Zr at (0.000, 0.000, 0.000), Ta at (0.000, 0.000, 0.683), Ta at (0.000, 0.159, 0.341) and Ni at (0.250, 0.250, 0.093).

The total energy comes out at -9.426 eV/atom. The calculated volume is 391.6 Å³/cell. As for the formation energy: -0.2190 eV/atom. The calculation puts the magnetic moment at 0.00 μB/f.u.


(4)
Computed, not measured: a geometry-optimized Zr3Ta2Ni2 structure at the PBE level of DFT.

The structure belongs to space group R3m (No. 160, hexagonal axes); the cell edges are 4.6133, 4.6133 and 20.1815 Å and the angles 90.00°, 90.00° and 120.00°. The asymmetric unit holds Zr at (0.0000, 0.0000, 0.0000), Zr at (0.0000, 0.0000, 0.2560), Zr at (0.0000, 0.0000, 0.7089), Ta at (0.0000, 0.0000, 0.4467), Ta at (0.0000, 0.0000, 0.8463), Ni at (0.0000, 0.0000, 0.1243) and Ni at (0.0000, 0.0000, 0.5794).

The total energy comes out at -8.605 eV/atom. The calculated volume is 372.0 Å³/cell. As for the formation energy: 0.0349 eV/atom. The calculation puts the magnetic moment at 0.01 μB/f.u.


(5)
Computed, not measured: a geometry-optimized ZrTaNi structure at the PBE level of DFT.

The structure belongs to space group Ima2 (No. 46); the cell edges are 5.042, 6.364 and 6.367 Å and the angles 90.00°, 90.00° and 90.00°. The asymmetric unit holds Zr at (0.250, 0.160, 0.000), Ta at (0.250, 0.660, 0.820) and Ni at (0.000, 0.000, 0.655).

The total energy comes out at -8.880 eV/atom. The calculated volume is 204.3 Å³/cell. As for the formation energy: -0.2243 eV/atom. The value obtained for the polymorph energy (0 for the lowest one) is 0.032 eV per atom. The calculation puts the magnetic moment at 0.00 μB/f.u.


(6)
Computed, not measured: a geometry-optimized Tb2Ni7 structure at the PBE level of DFT.

The structure belongs to space group R-3m (No. 166, hexagonal axes); the cell edges are 4.9301, 4.9301 and 36.1691 Å and the angles 90.00°, 90.00° and 120.00°. The asymmetric unit holds Tb at (0.0000, 0.0000, 0.0508), Tb at (0.0000, 0.0000, 0.1473), Ni at (0.0000, 0.0000, 0.2782), Ni at (0.0000, 0.0000, 0.3882), Ni at (0.0000, 0.0000, 0.5000), Ni at (0.0000, 0.5000, 0.0000) and Ni at (0.0006, 0.5003, 0.8903).

The total energy comes out at -5.747 eV/atom. The calculated volume is 761.3 Å³/cell. As for the formation energy: -0.3875 eV/atom. The calculation puts the magnetic moment at 1.10 μB/f.u.


(7)
Computed, not measured: a geometry-optimized TbNi2 structure at the PBE level of DFT.

The structure belongs to space group Fd-3m (No. 227, origin choice 2); the cell edges are 7.108, 7.108 and 7.108 Å and the angles 90.00°, 90.00° and 90.00°. The asymmetric unit holds Tb at (0.125, 0.125, 0.125) and Ni at (0.000, 0.000, 0.500).

The total energy comes out at -5.684 eV/atom. The calculated volume is 359.2 Å³/cell. As for the formation energy: -0.4289 eV/atom. The calculation puts the magnetic moment at 0.00 μB/f.u.


(8)
Computed, not measured: a geometry-optimized TbNi3 structure at the PBE level of DFT.

The structure belongs to space group R-3m (No. 166, hexagonal axes); the cell edges are 4.9488, 4.9488 and 24.3821 Å and the angles 90.00°, 90.00° and 120.00°. The asymmetric unit holds Tb at (0.0000, 0.0000, 0.0000), Tb at (0.0000, 0.0000, 0.1389), Ni at (0.0000, 0.0000, 0.3330), Ni at (0.0000, 0.0000, 0.5000) and Ni at (0.9996, 0.4998, 0.0819).

The total energy comes out at -5.740 eV/atom. The calculated volume is 516.9 Å³/cell. As for the formation energy: -0.4065 eV/atom. The calculation puts the magnetic moment at 0.21 μB/f.u.


(9)
Computed, not measured: a geometry-optimized TbNi structure at the PBE level of DFT.

The structure belongs to space group P-6m2 (No. 187); the cell edges are 3.7404, 3.7404 and 3.5393 Å and the angles 90.00°, 90.00° and 120.00°. The asymmetric unit holds Tb at (0.0000, 0.0000, 0.0000) and Ni at (0.3333, 0.6667, 0.5000).

The total energy comes out at -5.244 eV/atom. The calculated volume is 42.9 Å³/cell. As for the formation energy: -0.1455 eV/atom. The calculation puts the magnetic moment at 0.01 μB/f.u.


(10)
Computed, not measured: a geometry-optimized TbNi structure at the PBE level of DFT.

The structure belongs to space group P2_1/m (No. 11); the cell edges are 5.431, 4.218 and 21.176 Å and the angles 90.00°, 97.07° and 90.00°. The asymmetric unit holds Tb at (0.016, 0.250, 0.227), Tb at (0.163, 0.250, 0.560), Tb at (0.168, 0.250, 0.060), Tb at (0.315, 0.250, 0.394), Tb at (0.316, 0.250, 0.893), Tb at (0.464, 0.250, 0.726), Ni at (0.049, 0.750, 0.321), Ni at (0.199, 0.750, 0.654), Ni at (0.216, 0.750, 0.154), Ni at (0.365, 0.750, 0.488), Ni at (0.365, 0.750, 0.988) and Ni at (0.487, 0.250, 0.179).

The total energy comes out at -5.543 eV/atom. The calculated volume is 481.4 Å³/cell. As for the formation energy: -0.4439 eV/atom. The calculation puts the magnetic moment at 0.00 μB/f.u.


(11)
Computed, not measured: a geometry-optimized TbNi structure at the PBE level of DFT.

The structure belongs to space group R-3m (No. 166, hexagonal axes); the cell edges are 3.7293, 3.7293 and 10.2600 Å and the angles 90.00°, 90.00° and 120.00°. The asymmetric unit holds Tb at (0.0000, 0.0000, 0.0000) and Ni at (0.0000, 0.0000, 0.5000).

The total energy comes out at -5.304 eV/atom. The calculated volume is 123.6 Å³/cell. As for the formation energy: -0.2057 eV/atom. The calculation puts the magnetic moment at 0.00 μB/f.u.


(12)
Computed, not measured: a geometry-optimized TbNi structure at the PBE level of DFT.

The structure belongs to space group P6_3/mmc (No. 194); the cell edges are 3.7267, 3.7267 and 7.0352 Å and the angles 90.00°, 90.00° and 120.00°. The asymmetric unit holds Tb at (0.0000, 0.0000, 0.0000) and Ni at (0.3333, 0.6667, 0.2500).

The total energy comes out at -5.248 eV/atom. The calculated volume is 84.6 Å³/cell. As for the formation energy: -0.1496 eV/atom. The calculation puts the magnetic moment at 0.00 μB/f.u.